# 1
# CdW | the Alexandria database | PBE | relaxed
# - V (Å³/atom) = 19.518
# - space group = Fddd (70)
# - density of states at the Fermi level (states/eV/cell) = 8.2
# - formation enthalpy at 0 K (eV/atom) = 1.00
# - relative energy among the computed polymorphs (eV/atom) = 0.541
data_CdW
_cell_length_a 8.854
_cell_length_b 8.205
_cell_length_c 4.774
_cell_angle_alpha 81.40
_cell_angle_beta 66.39
_cell_angle_gamma 32.21
_space_group_name_H-M_alt 'P 1'
_space_group_IT_number 1
loop_
_space_group_symop_operation_xyz
'x,y,z'
loop_
_atom_site_label
_atom_site_type_symbol
_atom_site_fract_x
_atom_site_fract_y
_atom_site_fract_z
Cd1 Cd 0.040 0.710 0.040
Cd2 Cd 0.290 0.960 0.290
Cd3 Cd 0.710 0.040 0.710
Cd4 Cd 0.960 0.290 0.960
W1 W 0.292 0.292 0.458
W2 W 0.458 0.458 0.292
W3 W 0.542 0.542 0.708
W4 W 0.708 0.708 0.542

# 2
# Cd5W | the Alexandria database | PBE | relaxed
# - V (Å³/atom) = 21.252
# - space group = F-43m (216)
# - density of states at the Fermi level (states/eV/cell) = 4.4
# - formation enthalpy at 0 K (eV/atom) = 0.73
# - relative energy among the computed polymorphs (eV/atom) = 0.373
data_Cd5W
_cell_length_a 5.650
_cell_length_b 5.650
_cell_length_c 5.650
_cell_angle_alpha 60.00
_cell_angle_beta 60.00
_cell_angle_gamma 60.00
_space_group_name_H-M_alt 'P 1'
_space_group_IT_number 1
loop_
_space_group_symop_operation_xyz
'x,y,z'
loop_
_atom_site_label
_atom_site_type_symbol
_atom_site_fract_x
_atom_site_fract_y
_atom_site_fract_z
Cd1 Cd 0.000 0.000 0.000
Cd2 Cd 0.375 0.375 0.375
Cd3 Cd 0.375 0.375 0.874
Cd4 Cd 0.375 0.874 0.375
Cd5 Cd 0.874 0.375 0.375
W1 W 0.750 0.750 0.750

# 3
# CdW | the Alexandria database | PBE | relaxed
# - V (Å³/atom) = 19.302
# - space group = I4/m (87)
# - density of states at the Fermi level (states/eV/cell) = 4.3
# - formation enthalpy at 0 K (eV/atom) = 0.80
# - relative energy among the computed polymorphs (eV/atom) = 0.338
data_CdW
_cell_length_a 7.562
_cell_length_b 7.562
_cell_length_c 7.562
_cell_angle_alpha 91.96
_cell_angle_beta 91.96
_cell_angle_gamma 158.70
_space_group_name_H-M_alt 'P 1'
_space_group_IT_number 1
loop_
_space_group_symop_operation_xyz
'x,y,z'
loop_
_atom_site_label
_atom_site_type_symbol
_atom_site_fract_x
_atom_site_fract_y
_atom_site_fract_z
Cd1 Cd 0.078 0.664 0.743
Cd2 Cd 0.336 0.078 0.414
Cd3 Cd 0.664 0.922 0.586
Cd4 Cd 0.922 0.336 0.257
W1 W 0.356 0.599 0.955
W2 W 0.401 0.356 0.757
W3 W 0.599 0.644 0.243
W4 W 0.644 0.401 0.045

# 4
# CdW | the Alexandria database | PBE | relaxed
# - V (Å³/atom) = 17.976
# - space group = P4/mmm (123)
# - density of states at the Fermi level (states/eV/cell) = 1.7
# - formation enthalpy at 0 K (eV/atom) = 1.05
# - relative energy among the computed polymorphs (eV/atom) = 0.586
data_CdW
_cell_length_a 3.587
_cell_length_b 3.587
_cell_length_c 2.794
_cell_angle_alpha 90.00
_cell_angle_beta 90.00
_cell_angle_gamma 90.00
_space_group_name_H-M_alt 'P 1'
_space_group_IT_number 1
loop_
_space_group_symop_operation_xyz
'x,y,z'
loop_
_atom_site_label
_atom_site_type_symbol
_atom_site_fract_x
_atom_site_fract_y
_atom_site_fract_z
Cd1 Cd 0.000 0.000 0.000
W1 W 0.500 0.500 0.500

# 5
# CdW5 | the Alexandria database | PBE | relaxed
# - V (Å³/atom) = 16.855
# - space group = Amm2 (38)
# - density of states at the Fermi level (states/eV/cell) = 4.5
# - formation enthalpy at 0 K (eV/atom) = 0.54
# - relative energy among the computed polymorphs (eV/atom) = 0.048
data_CdW5
_cell_length_a 4.766
_cell_length_b 8.059
_cell_length_c 8.059
_cell_angle_alpha 19.07
_cell_angle_beta 90.00
_cell_angle_gamma 90.00
_space_group_name_H-M_alt 'P 1'
_space_group_IT_number 1
loop_
_space_group_symop_operation_xyz
'x,y,z'
loop_
_atom_site_label
_atom_site_type_symbol
_atom_site_fract_x
_atom_site_fract_y
_atom_site_fract_z
Cd1 Cd 0.000 0.000 0.000
W1 W 0.000 0.335 0.335
W2 W 0.000 0.669 0.669
W3 W 0.500 0.102 0.102
W4 W 0.500 0.430 0.430
W5 W 0.500 0.766 0.766

# 6
# Cd5W4 | the Alexandria database | PBE | relaxed
# - V (Å³/atom) = 18.780
# - space group = I4/mmm (139)
# - density of states at the Fermi level (states/eV/cell) = 3.4
# - formation enthalpy at 0 K (eV/atom) = 0.45
data_Cd5W4
_cell_length_a 7.375
_cell_length_b 7.375
_cell_length_c 7.375
_cell_angle_alpha 92.81
_cell_angle_beta 92.81
_cell_angle_gamma 154.40
_space_group_name_H-M_alt 'P 1'
_space_group_IT_number 1
loop_
_space_group_symop_operation_xyz
'x,y,z'
loop_
_atom_site_label
_atom_site_type_symbol
_atom_site_fract_x
_atom_site_fract_y
_atom_site_fract_z
Cd1 Cd 0.000 0.000 0.000
Cd2 Cd 0.333 0.333 0.665
Cd3 Cd 0.333 0.667 0.000
Cd4 Cd 0.667 0.333 0.000
Cd5 Cd 0.667 0.667 0.335
W1 W 0.000 0.353 0.353
W2 W 0.000 0.647 0.647
W3 W 0.353 0.000 0.353
W4 W 0.647 0.000 0.647

# 7
# CdW | the Alexandria database | PBE | relaxed
# - V (Å³/atom) = 19.236
# - space group = Pnma (62)
# - density of states at the Fermi level (states/eV/cell) = 7.5
# - formation enthalpy at 0 K (eV/atom) = 0.46
# - relative energy among the computed polymorphs (eV/atom) = 0.002
data_CdW
_cell_length_a 9.841
_cell_length_b 3.161
_cell_length_c 9.893
_cell_angle_alpha 90.00
_cell_angle_beta 90.00
_cell_angle_gamma 90.00
_space_group_name_H-M_alt 'P 1'
_space_group_IT_number 1
loop_
_space_group_symop_operation_xyz
'x,y,z'
loop_
_atom_site_label
_atom_site_type_symbol
_atom_site_fract_x
_atom_site_fract_y
_atom_site_fract_z
Cd1 Cd 0.120 0.250 0.062
Cd2 Cd 0.151 0.750 0.788
Cd3 Cd 0.349 0.250 0.288
Cd4 Cd 0.380 0.750 0.562
Cd5 Cd 0.620 0.250 0.438
Cd6 Cd 0.651 0.750 0.712
Cd7 Cd 0.849 0.250 0.212
Cd8 Cd 0.880 0.750 0.938
W1 W 0.088 0.750 0.326
W2 W 0.124 0.250 0.524
W3 W 0.376 0.750 0.024
W4 W 0.412 0.250 0.826
W5 W 0.588 0.750 0.174
W6 W 0.624 0.250 0.976
W7 W 0.876 0.750 0.476
W8 W 0.912 0.250 0.674

# 8
# CdW | the Alexandria database | PBE | relaxed
# - V (Å³/atom) = 17.913
# - space group = R-3m (166)
# - density of states at the Fermi level (states/eV/cell) = 1.2
# - formation enthalpy at 0 K (eV/atom) = 0.68
# - relative energy among the computed polymorphs (eV/atom) = 0.222
data_CdW
_cell_length_a 5.257
_cell_length_b 5.257
_cell_length_c 5.257
_cell_angle_alpha 31.80
_cell_angle_beta 31.80
_cell_angle_gamma 31.80
_space_group_name_H-M_alt 'P 1'
_space_group_IT_number 1
loop_
_space_group_symop_operation_xyz
'x,y,z'
loop_
_atom_site_label
_atom_site_type_symbol
_atom_site_fract_x
_atom_site_fract_y
_atom_site_fract_z
Cd1 Cd 0.000 0.000 0.000
W1 W 0.500 0.500 0.500

# 9
# Cd5W | the Alexandria database | PBE | relaxed
# - V (Å³/atom) = 20.208
# - space group = Cm (8)
# - density of states at the Fermi level (states/eV/cell) = 3.6
# - formation enthalpy at 0 K (eV/atom) = 0.36
# - relative energy among the computed polymorphs (eV/atom) = 0.000
data_Cd5W
_cell_length_a 5.862
_cell_length_b 5.862
_cell_length_c 7.497
_cell_angle_alpha 105.39
_cell_angle_beta 105.39
_cell_angle_gamma 29.30
_space_group_name_H-M_alt 'P 1'
_space_group_IT_number 1
loop_
_space_group_symop_operation_xyz
'x,y,z'
loop_
_atom_site_label
_atom_site_type_symbol
_atom_site_fract_x
_atom_site_fract_y
_atom_site_fract_z
Cd1 Cd 0.000 0.000 0.000
Cd2 Cd 0.053 0.053 0.626
Cd3 Cd 0.320 0.320 0.690
Cd4 Cd 0.388 0.388 0.280
Cd5 Cd 0.668 0.668 0.331
W1 W 0.724 0.724 0.964

# 10
# CdW | the Alexandria database | PBE | relaxed
# - V (Å³/atom) = 18.488
# - space group = Amm2 (38)
# - density of states at the Fermi level (states/eV/cell) = 4.1
# - formation enthalpy at 0 K (eV/atom) = 0.68
# - relative energy among the computed polymorphs (eV/atom) = 0.217
data_CdW
_cell_length_a 4.622
_cell_length_b 5.164
_cell_length_c 5.164
_cell_angle_alpha 115.82
_cell_angle_beta 90.00
_cell_angle_gamma 90.00
_space_group_name_H-M_alt 'P 1'
_space_group_IT_number 1
loop_
_space_group_symop_operation_xyz
'x,y,z'
loop_
_atom_site_label
_atom_site_type_symbol
_atom_site_fract_x
_atom_site_fract_y
_atom_site_fract_z
Cd1 Cd 0.000 0.000 0.000
Cd2 Cd 0.500 0.654 0.990
Cd3 Cd 0.500 0.990 0.654
W1 W 0.000 0.346 0.634
W2 W 0.000 0.634 0.346
W3 W 0.500 0.342 0.342

> Which formula does entry 8 have?

CdW